# 1
Compound: PuNp2PaP4
Source: Alexandria
Functional: GGA-PBE
Structure: optimized geometry

Properties
raw total energy = -9.961 eV/atom
energy of formation = -1.043 eV/atom

Cell and atoms, written as CIF:
```
data_PuNp2PaP4
_cell_length_a 6.867
_cell_length_b 3.964
_cell_length_c 6.887
_cell_angle_alpha 90.00
_cell_angle_beta 109.44
_cell_angle_gamma 90.00
_symmetry_space_group_name_H-M 'P 1 2/m 1'
_symmetry_Int_Tables_number 10
loop_
_symmetry_equiv_pos_as_xyz
'x,y,z'
'-x,-y,-z'
'-x,y,-z'
'x,-y,z'
loop_
_atom_site_label
_atom_site_type_symbol
_atom_site_fract_x
_atom_site_fract_y
_atom_site_fract_z
_atom_site_occupancy
Pu1 Pu 0.000 0.000 0.000 1
Np1 Np 0.500 0.000 0.500 1
Np2 Np 0.500 0.500 0.000 1
Pa1 Pa 0.000 0.500 0.500 1
P1 P 0.251 0.000 0.750 1
P2 P 0.252 0.500 0.252 1
```

***

# 2
Compound: Pu3Np4PaP8
Source: Alexandria
Functional: GGA-PBE
Structure: optimized geometry

Properties
raw total energy = -10.230 eV/atom
energy of formation = -1.009 eV/atom

Cell and atoms, written as CIF:
```
data_Pu3Np4PaP8
_cell_length_a 13.769
_cell_length_b 7.912
_cell_length_c 7.965
_cell_angle_alpha 90.00
_cell_angle_beta 125.33
_cell_angle_gamma 90.00
_symmetry_space_group_name_H-M 'C 1 2/m 1'
_symmetry_Int_Tables_number 12
loop_
_symmetry_equiv_pos_as_xyz
'x,y,z'
'-x,-y,-z'
'-x,y,-z'
'x,-y,z'
'x+1/2,y+1/2,z'
'-x+1/2,-y+1/2,-z'
'-x+1/2,y+1/2,-z'
'x+1/2,-y+1/2,z'
loop_
_atom_site_label
_atom_site_type_symbol
_atom_site_fract_x
_atom_site_fract_y
_atom_site_fract_z
_atom_site_occupancy
Pu1 Pu 0.000 0.000 0.000 1
Pu2 Pu 0.250 0.250 0.000 1
Np1 Np 0.000 0.000 0.500 1
Np2 Np 0.000 0.500 0.500 1
Np3 Np 0.250 0.250 0.500 1
Pa1 Pa 0.000 0.500 0.000 1
P1 P 0.001 0.250 0.252 1
P2 P 0.250 0.000 0.252 1
P3 P 0.250 0.000 0.749 1
```